Entry 1:
DFT (PBE) results for an optimized crystal structure of TbSm2HoTm5.

The size of the total moment comes out at 0.000 μB per formula unit. The formation energy comes out at 0.280 eV/atom. The space group is I4/mcm, No. 140. Its crystal system is tetragonal. Its total energy is -0.314 Ry per atom. The density of states at the Fermi level is 10.37 states/eV/f.u.

```
data_TbSm2HoTm5
_space_group_name_H-M_alt 'P 1'
_space_group_IT_number 1
_cell_length_a 8.602
_cell_length_b 8.602
_cell_length_c 9.769
_cell_angle_alpha 116.12
_cell_angle_beta 116.12
_cell_angle_gamma 90.00
loop_
_space_group_symop_operation_xyz
'x,y,z'
loop_
_atom_site_label
_atom_site_fract_x
_atom_site_fract_y
_atom_site_fract_z
_atom_site_occupancy
Tb1 0.250 0.250 0.500 1
Tb2 0.750 0.750 0.500 1
Sm1 0.116 0.384 0.000 1
Sm2 0.616 0.116 0.000 1
Sm3 0.384 0.884 0.000 1
Sm4 0.884 0.616 0.000 1
Ho1 0.250 0.750 0.500 1
Ho2 0.750 0.250 0.500 1
Tm1 0.928 0.428 0.277 1
Tm2 0.651 0.151 0.723 1
Tm3 0.072 0.572 0.723 1
Tm4 0.151 0.072 0.723 1
Tm5 0.572 0.651 0.723 1
Tm6 0.849 0.928 0.277 1
Tm7 0.428 0.349 0.277 1
Tm8 0.349 0.849 0.277 1
Tm9 0.500 0.500 0.000 1
Tm10 0.000 0.000 0.000 1
```


Entry 2:
DFT (PBE) results for an optimized crystal structure of Pm5PrTh2.

The size of the total moment comes out at 0.000 μB per formula unit. The formation energy comes out at 0.103 eV/atom. The space group is Immm, No. 71. Its crystal system is orthorhombic. Its total energy is -0.391 Ry per atom. The density of states at the Fermi level is 12.19 states/eV/f.u.

```
data_Pm5PrTh2
_space_group_name_H-M_alt 'P 1'
_space_group_IT_number 1
_cell_length_a 3.578
_cell_length_b 11.392
_cell_length_c 9.026
_cell_angle_alpha 129.13
_cell_angle_beta 101.46
_cell_angle_gamma 90.00
loop_
_space_group_symop_operation_xyz
'x,y,z'
loop_
_atom_site_label
_atom_site_fract_x
_atom_site_fract_y
_atom_site_fract_z
_atom_site_occupancy
Pm1 0.000 0.500 0.000 1
Pm2 0.630 0.398 0.262 1
Pm3 0.370 0.602 0.738 1
Pm4 0.630 0.864 0.262 1
Pm5 0.370 0.136 0.738 1
Pr1 0.000 0.000 0.000 1
Th1 0.257 0.759 0.517 1
Th2 0.743 0.241 0.483 1
```


Entry 3:
DFT (PBE) results for an optimized crystal structure of BaCrNi2Bi.

The size of the total moment comes out at 4.590 μB per formula unit. The formation energy comes out at 1.616 eV/atom. The space group is P4/mmm, No. 123. Its crystal system is tetragonal. Its total energy is -0.278 Ry per atom. The density of states at the Fermi level is 4.08 states/eV/f.u.

```
data_BaCrNi2Bi
_space_group_name_H-M_alt 'P 1'
_space_group_IT_number 1
_cell_length_a 4.920
_cell_length_b 5.587
_cell_length_c 4.920
_cell_angle_alpha 90.00
_cell_angle_beta 90.00
_cell_angle_gamma 90.00
loop_
_space_group_symop_operation_xyz
'x,y,z'
loop_
_atom_site_label
_atom_site_fract_x
_atom_site_fract_y
_atom_site_fract_z
_atom_site_occupancy
Cr1 0.000 0.500 0.000 1
Ni1 0.000 0.000 0.500 1
Ni2 0.500 0.000 0.000 1
Bi1 0.500 0.500 0.500 1
Ba1 0.000 0.000 0.000 1
```


Entry 4:
DFT (PBE) results for an optimized crystal structure of AsCl.

The size of the total moment comes out at 2.045 μB per formula unit. For the formation energy from raw total energies, the calculation gives 0.826 eV per atom. The space group is Pm-3n, No. 223. Its crystal system is cubic. Its total energy is -0.178 Ry per atom. The density of states at the Fermi level is 0.98 states/eV/f.u.

```
data_AsCl
_space_group_name_H-M_alt 'P 1'
_space_group_IT_number 1
_cell_length_a 7.999
_cell_length_b 7.999
_cell_length_c 7.999
_cell_angle_alpha 90.00
_cell_angle_beta 90.00
_cell_angle_gamma 90.00
loop_
_space_group_symop_operation_xyz
'x,y,z'
loop_
_atom_site_label
_atom_site_fract_x
_atom_site_fract_y
_atom_site_fract_z
_atom_site_occupancy
As1 0.250 0.500 0.000 1
As2 0.750 0.500 0.000 1
As3 0.500 0.000 0.250 1
As4 0.500 0.000 0.750 1
As5 0.000 0.250 0.500 1
As6 0.000 0.750 0.500 1
Cl1 0.250 0.000 0.500 1
Cl2 0.750 0.000 0.500 1
Cl3 0.000 0.500 0.250 1
Cl4 0.000 0.500 0.750 1
Cl5 0.500 0.250 0.000 1
Cl6 0.500 0.750 0.000 1
```


Entry 5:
DFT (PBE) results for an optimized crystal structure of Pr3Be2Pd5.

The size of the total moment comes out at 0.000 μB per formula unit. The formation energy comes out at -0.653 eV/atom. The space group is P4/mbm, No. 127. Its crystal system is tetragonal. Its total energy is -0.399 Ry per atom. The density of states at the Fermi level is 6.69 states/eV/f.u.

```
data_Pr3Be2Pd5
_space_group_name_H-M_alt 'P 1'
_space_group_IT_number 1
_cell_length_a 3.568
_cell_length_b 10.345
_cell_length_c 10.345
_cell_angle_alpha 90.00
_cell_angle_beta 90.00
_cell_angle_gamma 90.00
loop_
_space_group_symop_operation_xyz
'x,y,z'
loop_
_atom_site_label
_atom_site_fract_x
_atom_site_fract_y
_atom_site_fract_z
_atom_site_occupancy
Pr1 0.000 0.321 0.821 1
Pr2 0.000 0.679 0.179 1
Pr3 0.000 0.179 0.321 1
Pr4 0.000 0.821 0.679 1
Pr5 0.000 0.000 0.000 1
Pr6 0.000 0.500 0.500 1
Be1 0.000 0.114 0.614 1
Be2 0.000 0.886 0.386 1
Be3 0.000 0.386 0.114 1
Be4 0.000 0.614 0.886 1
Pd1 0.500 0.234 0.070 1
Pd2 0.500 0.766 0.930 1
Pd3 0.500 0.930 0.234 1
Pd4 0.500 0.070 0.766 1
Pd5 0.500 0.266 0.570 1
Pd6 0.500 0.734 0.430 1
Pd7 0.500 0.570 0.734 1
Pd8 0.500 0.430 0.266 1
Pd9 0.500 0.000 0.500 1
Pd10 0.500 0.500 0.000 1
```


Entry 6:
DFT (PBE) results for an optimized crystal structure of LaFe2Pt.

The size of the total moment comes out at 4.863 μB per formula unit. The formation energy comes out at 0.307 eV/atom. The space group is R3m, No. 160. Its crystal system is trigonal. Its total energy is -0.490 Ry per atom. The density of states at the Fermi level is 2.90 states/eV/f.u.

```
data_LaFe2Pt
_space_group_name_H-M_alt 'P 1'
_space_group_IT_number 1
_cell_length_a 9.269
_cell_length_b 9.269
_cell_length_c 9.269
_cell_angle_alpha 18.51
_cell_angle_beta 18.51
_cell_angle_gamma 18.51
loop_
_space_group_symop_operation_xyz
'x,y,z'
loop_
_atom_site_label
_atom_site_fract_x
_atom_site_fract_y
_atom_site_fract_z
_atom_site_occupancy
Fe1 0.995 0.995 0.995 1
Fe2 0.266 0.266 0.266 1
La1 0.502 0.502 0.502 1
Pt1 0.737 0.737 0.737 1
```


Entry 7:
DFT (PBE) results for an optimized crystal structure of ReSi2Ir.

The size of the total moment comes out at 0.000 μB per formula unit. For the formation energy from raw total energies, the calculation gives 0.036 eV per atom. The space group is P4mm, No. 99. As for the energy above the most stable polymorph in this dataset: 418 meV per atom. Its crystal system is tetragonal. Its total energy is -0.588 Ry per atom. The density of states at the Fermi level is 2.03 states/eV/f.u.

```
data_ReSi2Ir
_space_group_name_H-M_alt 'P 1'
_space_group_IT_number 1
_cell_length_a 2.742
_cell_length_b 2.742
_cell_length_c 7.562
_cell_angle_alpha 90.00
_cell_angle_beta 90.00
_cell_angle_gamma 90.00
loop_
_space_group_symop_operation_xyz
'x,y,z'
loop_
_atom_site_label
_atom_site_fract_x
_atom_site_fract_y
_atom_site_fract_z
_atom_site_occupancy
Ir1 0.000 0.000 0.498 1
Re1 0.500 0.500 0.748 1
Si1 0.000 0.000 0.993 1
Si2 0.500 0.500 0.261 1
```


Entry 8:
DFT (PBE) results for an optimized crystal structure of Sm2HoEr3Tm6.

The size of the total moment comes out at 0.004 μB per formula unit. The formation energy comes out at 0.024 eV/atom. The space group is C2/m, No. 12. Its crystal system is monoclinic. Its total energy is -0.332 Ry per atom. The density of states at the Fermi level is 16.55 states/eV/f.u.

```
data_Sm2HoEr3Tm6
_space_group_name_H-M_alt 'P 1'
_space_group_IT_number 1
_cell_length_a 6.092
_cell_length_b 6.092
_cell_length_c 11.638
_cell_angle_alpha 95.00
_cell_angle_beta 95.00
_cell_angle_gamma 119.94
loop_
_space_group_symop_operation_xyz
'x,y,z'
loop_
_atom_site_label
_atom_site_fract_x
_atom_site_fract_y
_atom_site_fract_z
_atom_site_occupancy
Sm1 0.333 0.667 0.000 1
Sm2 0.667 0.333 0.000 1
Ho1 0.000 0.000 0.000 1
Er1 0.166 0.834 0.500 1
Er2 0.834 0.166 0.500 1
Er3 0.500 0.500 0.500 1
Tm1 0.915 0.582 0.748 1
Tm2 0.752 0.752 0.252 1
Tm3 0.085 0.418 0.252 1
Tm4 0.582 0.915 0.748 1
Tm5 0.248 0.248 0.748 1
Tm6 0.418 0.085 0.252 1
```


Entry 9:
DFT (PBE) results for an optimized crystal structure of TlVP2Cl.

The size of the total moment comes out at 0.002 μB per formula unit. For the formation energy from raw total energies, the calculation gives -0.135 eV per atom. The space group is P4/mmm, No. 123. As for the energy above the most stable polymorph in this dataset: 0 meV per atom. Its crystal system is tetragonal. Its total energy is -0.365 Ry per atom. The density of states at the Fermi level is 2.26 states/eV/f.u.

```
data_TlVP2Cl
_space_group_name_H-M_alt 'P 1'
_space_group_IT_number 1
_cell_length_a 4.542
_cell_length_b 4.542
_cell_length_c 5.364
_cell_angle_alpha 90.00
_cell_angle_beta 90.00
_cell_angle_gamma 90.00
loop_
_space_group_symop_operation_xyz
'x,y,z'
loop_
_atom_site_label
_atom_site_fract_x
_atom_site_fract_y
_atom_site_fract_z
_atom_site_occupancy
P1 0.000 0.500 0.000 1
P2 0.500 0.000 0.000 1
Tl1 0.500 0.500 0.500 1
Cl1 0.000 0.000 0.500 1
V1 0.000 0.000 0.000 1
```